## InTc2Pt (PBE)

Data for InTc2Pt after structural relaxation.

Cell and atoms, written as extended XYZ:
```
4
Lattice="2.846 0.000 0.000 0.000 4.168 0.000 -0.012 0.000 5.580" Properties=species:S:1:pos:R:3 pbc="T T T"
In 0.000 0.000 0.000
Tc 1.413 2.084 1.581
Tc 1.421 2.084 3.999
Pt -0.006 0.000 2.790
```

## Properties
- ΔE_f: 0.182 eV per atom
- Magnetic moment: 0.0 μB/f.u.
- Calculated density: 12.69 g/cm3
- Density of states at the Fermi level: 0.99 states/eV/atom

---

## InTc2Pt (PBE)

Data for InTc2Pt after structural relaxation.

Cell and atoms, written as extended XYZ:
```
4
Lattice="-2.023 2.023 3.936 2.023 -2.023 3.936 2.023 2.023 -3.936" Properties=species:S:1:pos:R:3 pbc="T T T"
In 0.000 0.000 0.000
Tc 0.000 0.000 3.936
Tc 0.000 2.023 1.968
Pt 2.023 0.000 1.968
```

## Properties
- ΔE_f: 0.089 eV per atom
- Magnetic moment: 0.8 μB/f.u.
- Calculated density: 13.03 g/cm3
- Density of states at the Fermi level: 1.11 states/eV/atom

---

## InTc2Pt (PBE)

Data for InTc2Pt after structural relaxation.

Cell and atoms, written as extended XYZ:
```
4
Lattice="4.771 0.000 0.000 0.000 4.771 0.000 0.000 0.000 2.864" Properties=species:S:1:pos:R:3 pbc="T T T"
In 0.000 0.000 0.000
Tc 0.000 2.385 1.432
Tc 2.385 0.000 1.432
Pt 2.385 2.385 0.000
```

## Properties
- ΔE_f: 0.338 eV per atom
- Magnetic moment: 0.0 μB/f.u.
- Calculated density: 12.89 g/cm3
- Density of states at the Fermi level: 1.51 states/eV/atom

---

## InTc2Pt (PBE)

Data for InTc2Pt after structural relaxation.

Cell and atoms, written as extended XYZ:
```
4
Lattice="1.428 0.825 9.168 -1.428 0.825 9.168 0.000 -1.649 9.168" Properties=species:S:1:pos:R:3 pbc="T T T"
In 0.000 0.000 0.000
Tc 0.000 0.000 6.788
Tc 0.000 0.000 20.717
Pt 0.000 0.000 13.752
```

## Properties
- ΔE_f: 0.251 eV per atom
- Magnetic moment: 0.0 μB/f.u.
- Calculated density: 12.97 g/cm3
- Density of states at the Fermi level: 1.02 states/eV/atom

---

## InTc2Pt2 (PBE)

Data for InTc2Pt2 after structural relaxation.

Cell and atoms, written as extended XYZ:
```
10
Lattice="7.853 0.000 0.000 0.000 7.853 0.000 0.000 0.000 2.751" Properties=species:S:1:pos:R:3 pbc="T T T"
In 0.000 0.000 0.000
In 3.926 3.926 0.000
Tc 1.388 2.539 1.376
Tc 2.539 6.465 1.376
Tc 5.314 1.388 1.376
Tc 6.465 5.314 1.376
Pt 0.944 4.871 0.000
Pt 2.982 0.944 0.000
Pt 4.871 6.909 0.000
Pt 6.909 2.982 0.000
```

## Properties
- ΔE_f: 0.203 eV per atom
- Magnetic moment: 0.0 μB/f.u.
- Calculated density: 13.72 g/cm3
- Density of states at the Fermi level: 1.18 states/eV/atom

---

## InTc2Pt2 (PBE)

Data for InTc2Pt2 after structural relaxation.

Cell and atoms, written as extended XYZ:
```
10
Lattice="7.094 0.000 0.000 0.000 7.094 0.000 0.000 0.000 3.439" Properties=species:S:1:pos:R:3 pbc="T T T"
In 0.000 0.000 0.000
In 3.547 3.547 0.000
Tc 0.831 2.716 0.000
Tc 2.716 6.262 0.000
Tc 4.378 0.831 0.000
Tc 6.262 4.378 0.000
Pt 1.263 4.810 1.719
Pt 2.284 1.263 1.719
Pt 4.810 5.831 1.719
Pt 5.831 2.284 1.719
```

## Properties
- ΔE_f: 0.211 eV per atom
- Magnetic moment: 0.0 μB/f.u.
- Calculated density: 13.45 g/cm3
- Density of states at the Fermi level: 1.04 states/eV/atom

---

## In3TcPt12 (PBE)

Data for In3TcPt12 after structural relaxation.

Cell and atoms, written as extended XYZ:
```
16
Lattice="4.018 0.000 0.000 0.000 4.018 0.000 0.000 0.000 16.131" Properties=species:S:1:pos:R:3 pbc="T T T"
In 0.000 0.000 0.000
In 0.000 0.000 4.036
In 0.000 0.000 12.095
Tc 0.000 0.000 8.065
Pt 0.000 2.009 2.037
Pt 0.000 2.009 6.175
Pt 0.000 2.009 9.955
Pt 0.000 2.009 14.094
Pt 2.009 0.000 2.037
Pt 2.009 0.000 6.175
Pt 2.009 0.000 9.955
Pt 2.009 0.000 14.094
Pt 2.009 2.009 0.000
Pt 2.009 2.009 4.112
Pt 2.009 2.009 8.065
Pt 2.009 2.009 12.019
```

## Properties
- ΔE_f: -0.306 eV per atom
- Magnetic moment: 0.0 μB/f.u.
- Calculated density: 17.75 g/cm3
- Density of states at the Fermi level: 0.84 states/eV/atom

---

## InTc2Pt (PBE)

Data for InTc2Pt after structural relaxation.

Cell and atoms, written as extended XYZ:
```
4
Lattice="4.730 -1.432 0.000 4.730 1.432 0.000 -0.873 0.000 4.780" Properties=species:S:1:pos:R:3 pbc="T T T"
In 0.000 0.000 0.000
Tc 1.677 0.000 3.486
Tc 6.911 0.000 1.295
Pt 4.294 0.000 2.390
```

## Properties
- ΔE_f: 0.115 eV per atom
- Magnetic moment: 0.0 μB/f.u.
- Calculated density: 12.97 g/cm3
- Density of states at the Fermi level: 1.05 states/eV/atom

---

## InTc2Pt (PBE)

Data for InTc2Pt after structural relaxation.

Cell and atoms, written as extended XYZ:
```
4
Lattice="2.892 0.000 0.000 0.000 2.892 0.000 0.000 0.000 7.791" Properties=species:S:1:pos:R:3 pbc="T T T"
In 0.000 0.000 0.000
Tc 0.000 0.000 4.067
Tc 1.446 1.446 5.679
Pt 1.446 1.446 2.089
```

## Properties
- ΔE_f: -0.058 eV per atom
- Magnetic moment: 0.0 μB/f.u.
- Calculated density: 12.89 g/cm3
- Density of states at the Fermi level: 0.68 states/eV/atom

---

## InTc2Pt (PBE)

Data for InTc2Pt after structural relaxation.

Cell and atoms, written as extended XYZ:
```
4
Lattice="3.814 0.000 0.000 0.000 3.843 0.000 0.000 0.000 4.421" Properties=species:S:1:pos:R:3 pbc="T T T"
In 0.000 0.000 0.000
Tc 0.000 1.922 2.211
Tc 1.907 0.000 2.211
Pt 1.907 1.922 0.000
```

## Properties
- ΔE_f: 0.149 eV per atom
- Magnetic moment: 0.0 μB/f.u.
- Calculated density: 12.96 g/cm3
- Density of states at the Fermi level: 1.15 states/eV/atom

---

## InTc2Pt (PBE)

Data for InTc2Pt after structural relaxation.

Cell and atoms, written as extended XYZ:
```
4
Lattice="2.808 0.000 0.000 0.000 2.808 0.000 0.000 0.000 8.205" Properties=species:S:1:pos:R:3 pbc="T T T"
In 0.000 0.000 0.000
Tc 1.404 1.404 2.166
Tc 1.404 1.404 6.038
Pt 0.000 0.000 4.102
```

## Properties
- ΔE_f: 0.213 eV per atom
- Magnetic moment: 0.0 μB/f.u.
- Calculated density: 12.98 g/cm3
- Density of states at the Fermi level: 0.89 states/eV/atom

---

## InTc2Pt (PBE)

Data for InTc2Pt after structural relaxation.

Cell and atoms, written as extended XYZ:
```
4
Lattice="2.684 -4.265 0.000 2.684 4.265 0.000 0.000 0.000 2.829" Properties=species:S:1:pos:R:3 pbc="T T T"
In 0.000 0.000 0.000
Tc 1.342 2.133 1.415
Tc 1.342 -2.133 1.415
Pt 2.684 0.000 0.000
```

## Properties
- ΔE_f: 0.222 eV per atom
- Magnetic moment: 0.0 μB/f.u.
- Calculated density: 12.97 g/cm3
- Density of states at the Fermi level: 1.44 states/eV/atom

---

## InTc2Pt (PBE)

Data for InTc2Pt after structural relaxation.

Cell and atoms, written as extended XYZ:
```
4
Lattice="-1.951 1.951 4.227 1.951 -1.951 4.227 1.951 1.951 -4.227" Properties=species:S:1:pos:R:3 pbc="T T T"
In 0.000 0.000 0.000
Tc 1.951 0.000 2.114
Tc 0.000 1.951 2.114
Pt 0.000 0.000 4.227
```

## Properties
- ΔE_f: 0.122 eV per atom
- Magnetic moment: 0.1 μB/f.u.
- Calculated density: 13.05 g/cm3
- Density of states at the Fermi level: 1.43 states/eV/atom

---

## In3TcPt (PBE)

Data for In3TcPt after structural relaxation.

Cell and atoms, written as extended XYZ:
```
5
Lattice="5.124 0.000 0.000 0.000 5.124 0.000 0.000 0.000 5.124" Properties=species:S:1:pos:R:3 pbc="T T T"
In 0.000 0.000 2.562
In 0.000 2.562 0.000
In 2.562 0.000 0.000
Tc 2.562 2.562 2.562
Pt 0.000 0.000 0.000
```

## Properties
- ΔE_f: 0.681 eV per atom
- Magnetic moment: 3.7 μB/f.u.
- Calculated density: 7.87 g/cm3
- Density of states at the Fermi level: 0.95 states/eV/atom

---

## InTc2Pt (PBE)

Data for InTc2Pt after structural relaxation.

Cell and atoms, written as extended XYZ:
```
4
Lattice="1.434 0.828 9.134 -1.434 0.828 9.134 0.000 -1.655 9.134" Properties=species:S:1:pos:R:3 pbc="T T T"
In 0.000 0.000 0.000
Tc 0.000 0.000 13.583
Tc 0.000 0.000 20.685
Pt 0.000 0.000 6.766
```

## Properties
- ΔE_f: 0.044 eV per atom
- Magnetic moment: 0.0 μB/f.u.
- Calculated density: 12.92 g/cm3
- Density of states at the Fermi level: 0.71 states/eV/atom

---

## InTc3Pt (PBE)

Data for InTc3Pt after structural relaxation.

Cell and atoms, written as extended XYZ:
```
5
Lattice="4.798 0.000 0.000 0.000 4.798 0.000 0.000 0.000 4.798" Properties=species:S:1:pos:R:3 pbc="T T T"
In 0.000 0.000 0.000
Tc 0.000 2.399 2.399
Tc 2.399 0.000 2.399
Tc 2.399 2.399 0.000
Pt 2.399 2.399 2.399
```

## Properties
- ΔE_f: 1.694 eV per atom
- Magnetic moment: 4.4 μB/f.u.
- Calculated density: 9.08 g/cm3
- Density of states at the Fermi level: 1.67 states/eV/atom

---

## InTc4Pt (PBE)

Data for InTc4Pt after structural relaxation.

Cell and atoms, written as extended XYZ:
```
6
Lattice="0.000 3.661 3.661 3.661 0.000 3.661 3.661 3.661 0.000" Properties=species:S:1:pos:R:3 pbc="T T T"
In 0.000 0.000 0.000
Tc 4.566 2.755 2.755
Tc 2.755 4.566 2.755
Tc 2.755 2.755 4.566
Tc 4.566 4.566 4.566
Pt 1.830 1.830 1.830
```

## Properties
- ΔE_f: 0.359 eV per atom
- Magnetic moment: 0.0 μB/f.u.
- Calculated density: 11.88 g/cm3
- Density of states at the Fermi level: 1.37 states/eV/atom

---

## InTc2Pt (PBE)

Data for InTc2Pt after structural relaxation.

Cell and atoms, written as extended XYZ:
```
8
Lattice="-3.722 3.722 2.625 3.722 -3.722 2.625 3.722 3.722 -2.625" Properties=species:S:1:pos:R:3 pbc="T T T"
In 0.000 0.000 0.000
In 0.000 3.722 1.313
Tc 1.861 -1.706 1.969
Tc 2.017 1.861 0.656
Tc 1.861 5.428 -0.656
Tc 1.706 1.861 3.281
Pt 3.722 0.000 1.313
Pt 0.000 0.000 2.625
```

## Properties
- ΔE_f: 0.667 eV per atom
- Magnetic moment: 2.0 μB/f.u.
- Calculated density: 11.55 g/cm3
- Density of states at the Fermi level: 1.30 states/eV/atom

---

## InTc2Pt (PBE)

Data for InTc2Pt after structural relaxation.

Cell and atoms, written as extended XYZ:
```
4
Lattice="2.874 0.000 0.000 0.000 3.858 0.000 0.000 0.000 5.895" Properties=species:S:1:pos:R:3 pbc="T T T"
In 0.000 0.000 0.000
Tc 0.000 0.000 3.071
Tc 1.437 1.929 4.170
Pt 1.437 1.929 1.454
```

## Properties
- ΔE_f: 0.008 eV per atom
- Magnetic moment: 0.0 μB/f.u.
- Calculated density: 12.86 g/cm3
- Density of states at the Fermi level: 1.00 states/eV/atom

---

## In2TcPt2 (PBE)

Data for In2TcPt2 after structural relaxation.

Cell and atoms, written as extended XYZ:
```
10
Lattice="7.161 0.000 0.000 0.000 7.161 0.000 0.000 0.000 3.668" Properties=species:S:1:pos:R:3 pbc="T T T"
In 1.203 2.377 0.000
In 2.377 5.958 0.000
In 4.784 1.203 0.000
In 5.958 4.784 0.000
Tc 0.000 0.000 1.834
Tc 3.580 3.580 1.834
Pt 0.967 4.548 1.834
Pt 2.613 0.967 1.834
Pt 4.548 6.193 1.834
Pt 6.193 2.613 1.834
```

## Properties
- ΔE_f: 0.045 eV per atom
- Magnetic moment: 2.6 μB/f.u.
- Calculated density: 12.68 g/cm3
- Density of states at the Fermi level: 0.78 states/eV/atom